# 1
The following is a PBE calculation of a relaxed TlHO crystal, from Alexandria.

Cell lengths 3.948, 5.469, 6.050 Å; angles 96.19, 109.04, 90.00 degrees
Fractional coordinates of all 6 atoms:
Tl (0.336, 0.273, 0.672)
Tl (0.664, 0.727, 0.328)
H (0.924, 0.890, 0.847)
H (0.076, 0.110, 0.153)
O (0.858, 0.989, 0.715)
O (0.142, 0.011, 0.285)

Computed properties:
ΔE to the lowest computed polymorph = 0.0074 eV per atom
total energy = -26.33 eV for the cell shown
M_tot = 0.00 μB per cell
V = 20.443 Å³/atom
symmetry = C2/m
density = 5.99 Mg/m³

***

# 2
The following is a PBE calculation of a relaxed TiMnNbNi crystal, from Alexandria.

Cell lengths 4.296, 4.296, 4.296 Å; angles 60.00, 60.00, 60.00 degrees
Fractional coordinates of all 4 atoms:
Ni (0.750, 0.750, 0.750)
Nb (0.000, 0.000, 0.000)
Mn (0.250, 0.250, 0.250)
Ti (0.500, 0.500, 0.500)

Computed properties:
energy of formation from the pure elements = -18.3 kJ/mol of atoms
total energy = -33.68 eV for the cell shown
M_tot = 0.00 μB per cell
V = 14.014 Å³/atom
symmetry = F-43m
density = 7.54 Mg/m³

***

# 3
The following is a PBE calculation of a relaxed Mn2CdCl crystal, from Alexandria.

Cell lengths 3.023, 4.980, 4.980 Å; angles 90.00, 90.00, 90.00 degrees
Fractional coordinates of all 4 atoms:
Cl (0.500, 0.000, 0.500)
Mn (0.000, 0.000, 0.000)
Mn (0.000, 0.500, 0.500)
Cd (0.500, 0.500, 0.000)

Computed properties:
formation energy from raw total energies = 0.3646 eV per atom
ΔE to the lowest computed polymorph = 0.3587 eV per atom
total energy = -19.64 eV for the cell shown
M_tot = 8.15 μB per cell
V = 18.744 Å³/atom
symmetry = P4/mmm
density = 5.71 Mg/m³

***

# 4
The following is a PBE calculation of a relaxed BeCu6Au12 crystal, from Alexandria.

Cell lengths 6.742, 6.742, 6.742 Å; angles 88.58, 88.58, 88.58 degrees
Fractional coordinates of all 19 atoms:
Be (0.000, 0.000, 0.000)
Cu (0.732, 0.901, 0.257)
Cu (0.743, 0.268, 0.099)
Cu (0.099, 0.743, 0.268)
Cu (0.268, 0.099, 0.743)
Cu (0.257, 0.732, 0.901)
Cu (0.901, 0.257, 0.732)
Au (0.800, 0.540, 0.441)
Au (0.441, 0.800, 0.540)
Au (0.540, 0.441, 0.800)
Au (0.200, 0.460, 0.559)
Au (0.559, 0.200, 0.460)
Au (0.460, 0.559, 0.200)
Au (0.011, 0.151, 0.357)
Au (0.849, 0.643, 0.989)
Au (0.643, 0.989, 0.849)
Au (0.989, 0.849, 0.643)
Au (0.151, 0.357, 0.011)
Au (0.357, 0.011, 0.151)

Computed properties:
energy of formation from the pure elements = -0.7 kJ/mol of atoms
total energy = -67.78 eV for the cell shown
M_tot = 0.00 μB per cell
V = 16.117 Å³/atom
symmetry = R-3
density = 14.93 Mg/m³

***

# 5
The following is a PBE calculation of a relaxed Cd3FeS crystal, from Alexandria.

Cell lengths 5.104, 5.104, 5.104 Å; angles 90.00, 90.00, 90.00 degrees
Fractional coordinates of all 5 atoms:
S (0.000, 0.000, 0.000)
Fe (0.500, 0.500, 0.500)
Cd (0.000, 0.500, 0.000)
Cd (0.000, 0.000, 0.500)
Cd (0.500, 0.000, 0.000)

Computed properties:
formation energy from raw total energies = 0.8685 eV per atom
ΔE to the lowest computed polymorph = 0.0000 eV per atom
total energy = -10.99 eV for the cell shown
M_tot = 3.17 μB per cell
V = 26.592 Å³/atom
symmetry = Pm-3m
density = 5.31 Mg/m³

***

# 6
The following is a PBE calculation of a relaxed Nd5Sm3Ag2 crystal, from Alexandria.

Cell lengths 6.762, 10.651, 10.651 Å; angles 66.74, 71.49, 71.49 degrees
Fractional coordinates of all 20 atoms:
Nd (0.250, 0.500, 0.500)
Nd (0.750, 0.500, 0.500)
Nd (0.555, 0.695, 0.695)
Nd (0.945, 0.305, 0.305)
Nd (0.445, 0.305, 0.305)
Nd (0.055, 0.695, 0.695)
Nd (0.064, 0.668, 0.205)
Nd (0.936, 0.332, 0.795)
Nd (0.564, 0.205, 0.668)
Nd (0.436, 0.795, 0.332)
Sm (0.250, 0.000, 0.000)
Sm (0.750, 0.000, 0.000)
Sm (0.331, 0.387, 0.950)
Sm (0.669, 0.613, 0.050)
Sm (0.831, 0.950, 0.387)
Sm (0.169, 0.050, 0.613)
Ag (0.158, 0.786, 0.897)
Ag (0.842, 0.214, 0.103)
Ag (0.658, 0.897, 0.786)
Ag (0.342, 0.103, 0.214)

Computed properties:
energy of formation from the pure elements = 10.8 kJ/mol of atoms
total energy = -85.16 eV for the cell shown
M_tot = 0.00 μB per cell
V = 32.592 Å³/atom
symmetry = Ibam
density = 7.07 Mg/m³

***

# 7
The following is a PBE calculation of a relaxed SmErInRu crystal, from Alexandria.

Cell lengths 5.093, 5.093, 5.093 Å; angles 60.00, 60.00, 60.00 degrees
Fractional coordinates of all 4 atoms:
Ru (0.000, 0.000, 0.000)
In (0.500, 0.500, 0.500)
Sm (0.750, 0.750, 0.750)
Er (0.250, 0.250, 0.250)

Computed properties:
energy of formation from the pure elements = -29.0 kJ/mol of atoms
total energy = -22.50 eV for the cell shown
M_tot = 0.00 μB per cell
V = 23.360 Å³/atom
symmetry = F-43m
density = 9.48 Mg/m³

***

# 8
The following is a PBE calculation of a relaxed Cd3ReAu crystal, from Alexandria.

Cell lengths 5.188, 5.188, 5.188 Å; angles 90.00, 90.00, 90.00 degrees
Fractional coordinates of all 5 atoms:
Re (0.500, 0.500, 0.500)
Au (0.000, 0.000, 0.000)
Cd (0.000, 0.500, 0.000)
Cd (0.000, 0.000, 0.500)
Cd (0.500, 0.000, 0.000)

Computed properties:
energy of formation from the pure elements = 124.2 kJ/mol of atoms
ΔE to the lowest computed polymorph = 0.0730 eV per atom
total energy = -12.04 eV for the cell shown
M_tot = 4.27 μB per cell
V = 27.930 Å³/atom
symmetry = Pm-3m
density = 8.57 Mg/m³